{
  "formula": "Tm5TlCd2",
  "functional": "PBE-GGA",
  "state": "relaxed",
  "total_magnetization_mub_per_cell": 0.00,
  "e_tot_ev_per_atom": -3.5152,
  "spacegroup": "I4/mcm (140)",
  "formation_enthalpy_0k_ev_per_atom": -0.1959,
  "vol_a3_per_cell": 440,
  "dos_ef_per_ev_cell": 15.75,
  "lattice": [[-3.860, 3.860, 7.385], [3.860, -3.860, 7.385], [3.860, 3.860, -7.385]],
  "species": ["Tm", "Tm", "Tm", "Tm", "Tm", "Tm", "Tm", "Tm", "Tm", "Tm", "Tl", "Tl", "Cd", "Cd", "Cd", "Cd"],
  "fractional_positions": [[0.000, 0.000, 0.000], [0.006, 0.506, 0.822], [0.184, 0.006, 0.500], [0.316, 0.816, 0.822], [0.494, 0.316, 0.500], [0.500, 0.500, 0.000], [0.506, 0.684, 0.500], [0.684, 0.184, 0.178], [0.816, 0.994, 0.500], [0.994, 0.494, 0.178], [0.250, 0.250, 0.000], [0.750, 0.750, 0.000], [0.131, 0.369, 0.500], [0.369, 0.869, 0.237], [0.631, 0.131, 0.763], [0.869, 0.631, 0.500]]
}


{
  "formula": "Cs3TbAl2O6",
  "functional": "PBE-GGA",
  "state": "relaxed",
  "total_magnetization_mub_per_cell": 0.00,
  "e_tot_ev_per_atom": -6.0659,
  "spacegroup": "P-3m1 (164)",
  "vol_a3_per_cell": 257,
  "dos_ef_per_ev_cell": 0.00,
  "lattice": [[6.192, 0.000, 0.000], [-3.096, 5.362, 0.000], [0.000, 0.000, 7.731]],
  "species": ["Cs", "Cs", "Cs", "Tb", "Al", "Al", "O", "O", "O", "O", "O", "O"],
  "fractional_positions": [[0.000, 0.000, 0.000], [0.333, 0.667, 0.762], [0.667, 0.333, 0.238], [0.000, 0.000, 0.500], [0.333, 0.667, 0.322], [0.667, 0.333, 0.678], [0.173, 0.347, 0.319], [0.173, 0.827, 0.319], [0.347, 0.173, 0.681], [0.653, 0.827, 0.319], [0.827, 0.173, 0.681], [0.827, 0.653, 0.681]]
}


{
  "formula": "SrTe2Br",
  "functional": "PBE-GGA",
  "state": "relaxed",
  "de_polymorph_ev_per_atom": 0.3315,
  "total_magnetization_mub_per_cell": 0.00,
  "e_tot_ev_per_atom": -3.2627,
  "spacegroup": "C2/m (12)",
  "vol_a3_per_cell": 293,
  "dos_ef_per_ev_cell": 6.09,
  "lattice": [[6.094, 0.000, 0.000], [0.000, 9.823, 0.000], [-2.790, 0.000, 4.894]],
  "species": ["Sr", "Sr", "Te", "Te", "Te", "Te", "Br", "Br"],
  "fractional_positions": [[0.000, 0.000, 0.000], [0.500, 0.500, 0.000], [0.250, 0.250, 0.500], [0.250, 0.750, 0.500], [0.750, 0.250, 0.500], [0.750, 0.750, 0.500], [0.000, 0.500, 0.000], [0.500, 0.000, 0.000]]
}


{
  "formula": "LaAgTe2",
  "functional": "PBE-GGA",
  "state": "relaxed",
  "total_magnetization_mub_per_cell": 0.00,
  "e_tot_ev_per_atom": -4.0496,
  "spacegroup": "F-43m (216)",
  "vol_a3_per_cell": 450,
  "dos_ef_per_ev_cell": 5.75,
  "lattice": [[7.662, 0.000, 0.000], [0.000, 7.662, 0.000], [0.000, 0.000, 7.662]],
  "species": ["La", "La", "La", "La", "Ag", "Ag", "Ag", "Ag", "Te", "Te", "Te", "Te", "Te", "Te", "Te", "Te"],
  "fractional_positions": [[0.000, 0.000, 0.000], [0.000, 0.500, 0.500], [0.500, 0.000, 0.500], [0.500, 0.500, 0.000], [0.250, 0.250, 0.750], [0.250, 0.750, 0.250], [0.750, 0.250, 0.250], [0.750, 0.750, 0.750], [0.000, 0.000, 0.500], [0.000, 0.500, 0.000], [0.250, 0.250, 0.250], [0.250, 0.750, 0.750], [0.500, 0.000, 0.000], [0.500, 0.500, 0.500], [0.750, 0.250, 0.750], [0.750, 0.750, 0.250]]
}


{
  "formula": "Na10B13C7",
  "functional": "PBE-GGA",
  "state": "relaxed",
  "de_polymorph_ev_per_atom": 0.0075,
  "total_magnetization_mub_per_cell": 0.00,
  "e_tot_ev_per_atom": -5.3927,
  "spacegroup": "Cm (8)",
  "formation_enthalpy_0k_ev_per_atom": 0.0928,
  "vol_a3_per_cell": 306,
  "dos_ef_per_ev_cell": 8.07,
  "lattice": [[11.397, -1.420, 0.000], [11.397, 1.420, 0.000], [-2.980, 0.000, 9.440]],
  "species": ["Na", "Na", "Na", "Na", "Na", "Na", "Na", "Na", "Na", "Na", "B", "B", "B", "B", "B", "B", "B", "B", "B", "B", "B", "B", "B", "C", "C", "C", "C", "C", "C", "C"],
  "fractional_positions": [[0.000, 0.000, 0.000], [0.100, 0.100, 0.697], [0.199, 0.199, 0.397], [0.301, 0.301, 0.097], [0.399, 0.399, 0.801], [0.500, 0.500, 0.498], [0.600, 0.600, 0.197], [0.699, 0.699, 0.898], [0.800, 0.800, 0.597], [0.900, 0.900, 0.300], [0.084, 0.084, 0.416], [0.111, 0.111, 0.970], [0.180, 0.180, 0.110], [0.277, 0.277, 0.803], [0.314, 0.314, 0.376], [0.383, 0.383, 0.513], [0.487, 0.487, 0.222], [0.516, 0.516, 0.782], [0.681, 0.681, 0.610], [0.719, 0.719, 0.187], [0.817, 0.817, 0.884], [0.889, 0.889, 0.027], [0.923, 0.923, 0.593], [0.019, 0.019, 0.285], [0.213, 0.213, 0.674], [0.421, 0.421, 0.090], [0.580, 0.580, 0.909], [0.615, 0.615, 0.481], [0.783, 0.783, 0.314], [0.985, 0.985, 0.719]]
}


{
  "formula": "Dy2InSb",
  "functional": "PBE-GGA",
  "state": "relaxed",
  "de_polymorph_ev_per_atom": 0.1201,
  "total_magnetization_mub_per_cell": 0.00,
  "e_tot_ev_per_atom": -4.6621,
  "spacegroup": "P4/mmm (123)",
  "vol_a3_per_cell": 107,
  "dos_ef_per_ev_cell": 2.89,
  "lattice": [[3.957, 0.000, 0.000], [0.000, 3.957, 0.000], [0.000, 0.000, 6.844]],
  "species": ["Dy", "Dy", "In", "Sb"],
  "fractional_positions": [[0.000, 0.000, 0.242], [0.000, 0.000, 0.758], [0.500, 0.500, 0.500], [0.500, 0.500, 0.000]]
}